No. 1
VASP calculation (PBE) on Ac2TbHo6 after structural relaxation.

Symmetry ... No. 10
Electronic total energy ... -39.08 eV per cell

```
Ac2TbHo6
1.0
3.626 0.000 0.000
0.001 8.743 -0.628
-0.001 -1.379 9.943
Ac Tb Ho
2 1 6
direct
0.500 0.695 0.464
0.500 0.305 0.536
0.000 0.000 0.000
0.000 0.379 0.214
0.000 0.021 0.676
0.000 0.621 0.786
0.500 0.318 0.902
0.000 0.979 0.324
0.500 0.682 0.098
```



No. 2
VASP calculation (PBE) on Ti3TlCd after structural relaxation.

E above lowest polymorph ... 0 meV per atom
Symmetry ... No. 221
Electronic total energy ... -21.71 eV per cell

```
Ti3TlCd
1.0
4.973 0.000 0.000
0.000 4.973 0.000
0.000 0.000 4.973
Tl Ti Cd
1 3 1
direct
0.500 0.500 0.500
0.000 0.500 0.000
0.000 0.000 0.500
0.500 0.000 0.000
0.000 0.000 0.000
```



No. 3
VASP calculation (PBE) on AcY2MgTl4 after structural relaxation.

Symmetry ... No. 166
Electronic total energy ... -30.42 eV per cell

```
AcY2MgTl4
1.0
5.222 0.000 0.000
2.611 4.522 0.000
2.611 1.507 9.967
Ac Y Mg Tl
1 2 1 4
direct
0.000 0.000 0.000
0.766 0.766 0.703
0.234 0.234 0.297
0.500 0.500 0.500
0.390 0.390 0.831
0.873 0.873 0.380
0.127 0.127 0.620
0.610 0.610 0.169
```



No. 4
VASP calculation (PBE) on ZrH after structural relaxation.

Symmetry ... No. 136
Electronic total energy ... -50.38 eV per cell

```
ZrH
1.0
5.187 0.000 0.000
0.000 5.187 0.000
0.000 0.000 3.810
Zr H
4 4
direct
0.264 0.264 0.000
0.764 0.236 0.500
0.236 0.764 0.500
0.736 0.736 0.000
0.344 0.656 0.000
0.844 0.844 0.500
0.156 0.156 0.500
0.656 0.344 0.000
```



No. 5
VASP calculation (PBE) on Ba2Sn3Au after structural relaxation.

Symmetry ... No. 69
Electronic total energy ... -46.14 eV per cell

```
Ba2Sn3Au
1.0
7.016 0.066 0.000
-0.366 7.006 0.000
-3.325 -3.536 8.398
Ba Sn Au
4 6 2
direct
0.750 0.250 0.500
0.754 0.246 0.000
0.250 0.750 0.500
0.246 0.754 0.000
0.828 0.828 0.171
0.657 0.657 0.829
0.172 0.172 0.829
0.343 0.343 0.171
0.170 0.170 0.341
0.830 0.830 0.659
0.667 0.667 0.334
0.333 0.333 0.666
```



No. 6
VASP calculation (PBE) on CsC after structural relaxation.

E above lowest polymorph ... 1999 meV per atom
Symmetry ... No. 63
Electronic total energy ... -10.92 eV per cell

```
CsC
1.0
7.051 -0.001 0.000
-5.663 4.201 0.000
0.000 0.000 5.112
Cs C
2 2
direct
0.376 0.624 0.750
0.624 0.376 0.250
0.128 0.872 0.750
0.872 0.128 0.250
```



No. 7
VASP calculation (PBE) on NiC3Cl after structural relaxation.

E above lowest polymorph ... 0 meV per atom
Symmetry ... No. 221
Uncorrected formation energy ... 2.589 eV/atom
Electronic total energy ... -22.36 eV per cell

```
NiC3Cl
1.0
3.865 0.000 0.000
0.000 3.865 0.000
0.000 0.000 3.865
Ni C Cl
1 3 1
direct
0.000 0.000 0.000
0.000 0.500 0.000
0.000 0.000 0.500
0.500 0.000 0.000
0.500 0.500 0.500
```



No. 8
VASP calculation (PBE) on NpGaSbPd after structural relaxation.

Symmetry ... No. 216
Uncorrected formation energy ... -0.149 eV/atom
Electronic total energy ... -25.88 eV per cell

```
NpGaSbPd
1.0
4.929 0.000 0.000
2.464 4.268 0.000
2.464 1.423 4.024
Np Sb Ga Pd
1 1 1 1
direct
0.000 0.000 0.000
0.750 0.750 0.750
0.250 0.250 0.250
0.500 0.500 0.500
```



No. 9
VASP calculation (PBE) on Be2VPt2 after structural relaxation.

E above lowest polymorph ... 0 meV per atom
Symmetry ... No. 127
Electronic total energy ... -63.16 eV per cell

```
Be2VPt2
1.0
-1.573 -4.141 -5.078
6.275 -2.456 0.059
-0.752 -1.881 1.767
Be Pt V
4 4 2
direct
0.379 0.879 0.000
0.879 0.621 0.000
0.621 0.121 0.000
0.121 0.379 0.000
0.174 0.674 0.500
0.674 0.826 0.500
0.826 0.326 0.500
0.326 0.174 0.500
0.000 0.000 0.000
0.500 0.500 0.000
```



No. 10
VASP calculation (PBE) on Ho2NbGeN5 after structural relaxation.

Symmetry ... No. 36
Uncorrected formation energy ... -1.037 eV/atom
Electronic total energy ... -149.60 eV per cell

```
Ho2NbGeN5
1.0
-0.871 2.806 -1.211
-5.928 -2.362 2.959
2.521 4.517 8.658
Ho Nb Ge N
4 2 2 10
direct
0.871 0.742 0.779
0.118 0.235 0.711
0.129 0.258 0.279
0.882 0.765 0.211
0.774 0.548 0.503
0.226 0.452 0.003
0.510 0.020 0.974
0.490 0.980 0.474
0.371 0.742 0.009
0.702 0.404 0.865
0.501 0.001 0.790
0.286 0.573 0.644
0.943 0.886 0.550
0.629 0.258 0.509
0.298 0.596 0.365
0.499 0.999 0.290
0.714 0.427 0.144
0.057 0.114 0.050
```



No. 11
VASP calculation (PBE) on HfCrAgS4 after structural relaxation.

E above lowest polymorph ... 217 meV per atom
Symmetry ... No. 2
Uncorrected formation energy ... -0.727 eV/atom
Electronic total energy ... -176.10 eV per cell

```
HfCrAgS4
1.0
-0.735 -6.290 -1.748
2.936 1.740 -6.983
11.167 -2.427 6.344
Hf Cr Ag S
4 4 4 16
direct
0.891 0.295 0.707
0.109 0.705 0.293
0.763 0.116 0.998
0.237 0.884 0.002
0.589 0.450 0.280
0.411 0.550 0.720
0.602 0.962 0.297
0.398 0.038 0.703
0.925 0.830 0.690
0.075 0.170 0.310
0.734 0.657 0.001
0.266 0.343 0.999
0.884 0.341 0.891
0.116 0.659 0.109
0.920 0.866 0.890
0.080 0.134 0.110
0.717 0.234 0.352
0.283 0.766 0.648
0.753 0.713 0.346
0.247 0.287 0.654
0.701 0.045 0.619
0.299 0.955 0.381
0.723 0.536 0.648
0.277 0.464 0.352
0.573 0.940 0.116
0.427 0.060 0.884
0.620 0.400 0.111
0.380 0.600 0.889
```



No. 12
VASP calculation (PBE) on Tl3Te5 after structural relaxation.

E above lowest polymorph ... 86 meV per atom
Symmetry ... No. 65
Uncorrected formation energy ... -0.011 eV/atom
Electronic total energy ... -22.89 eV per cell

```
Tl3Te5
1.0
3.381 -6.170 0.000
3.381 6.170 0.000
0.000 0.000 6.274
Tl Te
3 5
direct
0.500 0.500 0.000
0.735 0.265 0.500
0.265 0.735 0.500
0.000 0.000 0.000
0.000 0.500 0.000
0.500 0.000 0.000
0.211 0.211 0.500
0.789 0.789 0.500
```